Entry 1:
AlGeAu6 (PBE, relaxed); size of the total moment = 0.00 μB/f.u.; distance to the lowest polymorph of the same formula = 0 meV per atom; formation energy = -0.08 eV per atom; V = 145 Å³ per cell
1.0
0.0000 3.5684 5.6878
3.5605 0.0000 5.6878
3.5605 3.5684 0.0000
Al Ge Au
1 1 6
Direct
0.0000 0.0000 0.0000 Al
0.5000 0.5000 0.5000 Ge
0.1223 0.1223 0.3777 Au
0.2418 0.2418 0.7582 Au
0.3777 0.3777 0.1223 Au
0.6223 0.6223 0.8777 Au
0.7582 0.7582 0.2418 Au
0.8777 0.8777 0.6223 Au


Entry 2:
In2TcRhSe (PBE, relaxed); size of the total moment = 0.00 μB/f.u.; V = 121 Å³ per cell; formation energy from raw total energies = 111.5 kJ per mole of atoms
1.0
5.1959 0.0000 0.0000
0.0000 5.1959 0.0000
0.0000 0.0000 4.4825
In Tc Rh Se
2 1 1 1
Direct
0.0000 0.5000 0.0000 In
0.5000 0.0000 0.0000 In
0.0000 0.0000 0.5000 Tc
0.5000 0.5000 0.5000 Rh
0.0000 0.0000 0.0000 Se


Entry 3:
Cs2SnAu (PBE, relaxed); size of the total moment = 0.00 μB/f.u.; distance to the lowest polymorph of the same formula = 0 meV per atom; formation energy = -0.26 eV per atom; V = 367 Å³ per cell
1.0
5.9426 -3.9655 0.0000
5.9426 3.9655 0.0000
0.0000 0.0000 7.7894
Cs Sn Au
4 2 2
Direct
0.0237 0.6462 0.7500 Cs
0.3538 0.9763 0.7500 Cs
0.6462 0.0237 0.2500 Cs
0.9763 0.3538 0.2500 Cs
0.2653 0.7347 0.2500 Sn
0.7347 0.2653 0.7500 Sn
0.5000 0.5000 0.0000 Au
0.5000 0.5000 0.5000 Au


Entry 4:
PmYTcPd (PBE, relaxed); size of the total moment = 0.00 μB/f.u.; formation energy = -0.27 eV per atom; V = 86 Å³ per cell
1.0
0.0000 3.5034 3.5034
3.5034 0.0000 3.5034
3.5034 3.5034 0.0000
Pm Y Tc Pd
1 1 1 1
Direct
0.0000 0.0000 0.0000 Pm
0.5000 0.5000 0.5000 Y
0.7500 0.7500 0.7500 Tc
0.2500 0.2500 0.2500 Pd


Entry 5:
Na4Pd3AuO8 (PBE, relaxed); size of the total moment = 0.61 μB/f.u.; V = 208 Å³ per cell; formation energy from raw total energies = -80.2 kJ per mole of atoms
1.0
6.1549 -3.0074 0.0000
6.1549 3.0074 0.0000
-2.8035 0.0000 5.6053
Na Pd Au O
4 3 1 8
Direct
0.0000 0.0000 0.0000 Na
0.0000 0.5000 0.5000 Na
0.5000 0.0000 0.5000 Na
0.5000 0.5000 0.0000 Na
0.0000 0.0000 0.5000 Pd
0.0000 0.5000 0.0000 Pd
0.5000 0.0000 0.0000 Pd
0.5000 0.5000 0.5000 Au
0.1879 0.1879 0.7380 O
0.2166 0.7125 0.6804 O
0.2273 0.2273 0.1841 O
0.2875 0.7834 0.3196 O
0.7125 0.2166 0.6804 O
0.7727 0.7727 0.8159 O
0.7834 0.2875 0.3196 O
0.8121 0.8121 0.2620 O


Entry 6:
MnMoSe2 (PBE, relaxed); size of the total moment = 3.54 μB/f.u.; distance to the lowest polymorph of the same formula = 650 meV per atom; V = 74 Å³ per cell; formation energy from raw total energies = 33.4 kJ per mole of atoms
1.0
1.6871 -2.8465 0.0000
1.6871 2.8465 0.0000
0.0000 0.0000 7.7150
Mn Mo Se
1 1 2
Direct
0.0000 0.0000 0.0000 Mn
0.0000 0.0000 0.5000 Mo
0.5000 0.5000 0.2492 Se
0.5000 0.5000 0.7508 Se


Entry 7:
BaTlBr2 (PBE, relaxed); size of the total moment = 0.10 μB/f.u.; distance to the lowest polymorph of the same formula = 3 meV per atom; V = 206 Å³ per cell; formation energy from raw total energies = -128.4 kJ per mole of atoms
1.0
2.3997 1.3855 10.3419
-2.3997 1.3855 10.3419
0.0000 -2.7709 10.3419
Ba Tl Br
1 1 2
Direct
0.0000 0.0000 0.0000 Ba
0.5000 0.5000 0.5000 Tl
0.3865 0.3865 0.3865 Br
0.6135 0.6135 0.6135 Br


Entry 8:
CrHg2Cl (PBE, relaxed); size of the total moment = 4.49 μB/f.u.; distance to the lowest polymorph of the same formula = 30 meV per atom; V = 231 Å³ per cell; formation energy from raw total energies = -6.3 kJ per mole of atoms
1.0
4.6369 0.0000 0.0000
-0.0006 4.8396 0.0000
-2.3114 -2.4053 10.3038
Cr Hg Cl
2 4 2
Direct
0.0000 0.0000 0.0000 Cr
0.1541 0.1561 0.3075 Cr
0.0757 0.5784 0.1509 Hg
0.2374 0.7392 0.4742 Hg
0.3352 0.3383 0.6734 Hg
0.8537 0.8481 0.7092 Hg
0.4819 0.0300 0.9636 Cl
0.6764 0.1779 0.3522 Cl


Entry 9:
TaCrPt2 (PBE, relaxed); size of the total moment = 3.25 μB/f.u.; distance to the lowest polymorph of the same formula = 33 meV per atom; formation energy = -0.46 eV per atom; V = 62 Å³ per cell
1.0
-1.9626 1.9626 4.0485
1.9626 -1.9626 4.0485
1.9626 1.9626 -4.0485
Ta Cr Pt
1 1 2
Direct
0.0000 0.0000 0.0000 Ta
0.2500 0.7500 0.5000 Cr
0.5000 0.5000 0.0000 Pt
0.7500 0.2500 0.5000 Pt


Entry 10:
NdGaSi (PBE, relaxed); size of the total moment = 0.00 μB/f.u.; V = 128 Å³ per cell; formation energy from raw total energies = -66.4 kJ per mole of atoms
1.0
-2.0892 3.6086 4.2284
2.0892 -3.6086 4.2284
2.0892 3.6086 -4.2284
Nd Ga Si
2 2 2
Direct
0.2469 0.2469 0.0000 Nd
0.7531 0.7531 0.0000 Nd
0.3317 0.0000 0.3317 Ga
0.6683 0.0000 0.6683 Ga
0.1639 0.5000 0.6639 Si
0.8361 0.5000 0.3361 Si


Entry 11:
SnTe2PbO8 (PBE, relaxed); size of the total moment = 0.00 μB/f.u.; V = 182 Å³ per cell; formation energy from raw total energies = -92.0 kJ per mole of atoms
1.0
5.7281 -2.8437 0.0000
5.7281 2.8437 0.0000
-2.0113 0.0000 5.5985
Sn Te Pb O
1 2 1 8
Direct
0.0000 0.0000 0.0000 Sn
0.2760 0.2760 0.8079 Te
0.7240 0.7240 0.1921 Te
0.5000 0.5000 0.5000 Pb
0.0922 0.0922 0.7494 O
0.1410 0.6318 0.7614 O
0.3173 0.3173 0.1359 O
0.3682 0.8590 0.2386 O
0.6318 0.1410 0.7614 O
0.6827 0.6827 0.8640 O
0.8590 0.3682 0.2386 O
0.9078 0.9078 0.2506 O


Entry 12:
HfNb2Hg2 (PBE, relaxed); size of the total moment = 0.00 μB/f.u.; distance to the lowest polymorph of the same formula = 0 meV per atom; formation energy = 0.40 eV per atom; V = 207 Å³ per cell
1.0
8.2852 0.0000 0.0000
0.0000 8.2852 0.0000
0.0000 0.0000 3.0186
Hf Nb Hg
2 4 4
Direct
0.0000 0.0000 0.0000 Hf
0.5000 0.5000 0.0000 Hf
0.1146 0.3854 0.0000 Nb
0.3854 0.8854 0.0000 Nb
0.6146 0.1146 0.0000 Nb
0.8854 0.6146 0.0000 Nb
0.1811 0.6811 0.5000 Hg
0.3189 0.1811 0.5000 Hg
0.6811 0.8189 0.5000 Hg
0.8189 0.3189 0.5000 Hg


Entry 13:
BaAlW2 (PBE, relaxed); size of the total moment = 0.00 μB/f.u.; formation energy = 0.73 eV per atom; V = 91 Å³ per cell
1.0
3.5132 0.0000 0.0000
0.0000 3.5132 0.0000
0.0000 0.0000 7.3873
Ba Al W
1 1 2
Direct
0.0000 0.0000 0.0000 Ba
0.0000 0.0000 0.5000 Al
0.5000 0.5000 0.3439 W
0.5000 0.5000 0.6561 W